Density functional theory data (PBE-GGA) for a relaxed Ni2TeMo crystal.

Geometry as extended XYZ:
```
4
Lattice="-1.884 3.905 -0.555 -3.447 1.337 -2.332 -3.508 0.129 2.900" Properties=species:S:1:pos:R:3 pbc="T T T"
Ni -6.679 3.978 0.125
Ni -3.459 0.139 2.842
Te -4.531 2.661 0.140
Mo -2.097 1.406 -0.189
```

## Properties
**ΔE_f (raw)**: 5.669 kcal/mol of atoms
**Fermi-level density of states**: 2.41 states/eV/f.u.
**Uncorrected energy**: -6.138 eV per atom